No. 1
# GaP3C

A crystal of GaP3C relaxed with PBEsol (SCAN, the Alexandria database).

Structure (POSCAR):
```
GaP3C
1.0
4.047 0.000 0.000
0.000 4.047 0.000
0.000 0.000 4.047
P C Ga
3 1 1
Direct
0.000 0.500 0.000
0.000 0.000 0.500
0.500 0.000 0.000
0.000 0.000 0.000
0.500 0.500 0.500
```

Spin magnetization   0.0 μB/f.u.
ΔH_f (0 K)   1258 meV per atom
Mass density   4.38 g cm⁻³
Symmetry   Pm-3m, No. 221

---

No. 2
# Cr3HW

A crystal of Cr3HW relaxed with PBEsol (SCAN, the Alexandria database).

Structure (POSCAR):
```
Cr3HW
1.0
-3.513 -1.045 0.695
0.535 -3.116 -1.979
1.135 -1.764 3.085
Cr W H
3 1 1
Direct
0.000 0.500 0.000
0.000 0.000 0.500
0.500 0.000 0.000
0.500 0.500 0.500
0.000 0.000 0.000
```

Spin magnetization   0.0 μB/f.u.
Final energy   -25.3456 eV/atom
Mass density   10.90 g cm⁻³
Symmetry   Pm-3m, No. 221

---

No. 3
# CoSiRu

A crystal of CoSiRu relaxed with PBEsol (SCAN, the Alexandria database).

Structure (POSCAR):
```
CoSiRu
1.0
-1.999 1.698 0.306
-0.719 -2.531 -0.226
1.712 -0.191 5.640
Co Ru Si
1 1 1
Direct
0.987 0.987 0.974
0.674 0.674 0.349
0.339 0.339 0.678
```

Spin magnetization   1.3 μB/f.u.
Final energy   -20.6276 eV/atom
Mass density   8.62 g cm⁻³
Symmetry   Fmm2, No. 42